# 1
A plane-wave DFT calculation with GGA-PBE was carried out for Rh2WCl after structural relaxation.

For the raw formation energy, the calculation gives 0.5993 eV/atom. Its total magnetization is 0.0 Bohr magnetons per cell. The calculation puts the energy above the most stable polymorph in this dataset at 606 meV/atom. The total energy is -6.776 eV per atom.

The space group is I-42d (No. 122) and the conventional cell measures 6.143, 6.143 and 8.833 Å, with angles of 90.00, 90.00 and 90.00 degrees. Symmetry generates all atoms from Rh at (0.238, 0.250, 0.125), W at (0.000, 0.000, 0.000) and Cl at (0.000, 0.000, 0.500).

***

# 2
A plane-wave DFT calculation with GGA-PBE was carried out for Rh2WCl after structural relaxation.

For the raw formation energy, the calculation gives 0.4662 eV/atom. Its total magnetization is 0.0 Bohr magnetons per cell. The calculation puts the energy above the most stable polymorph in this dataset at 473 meV/atom. The total energy is -6.910 eV per atom.

The space group is Cmm2 (No. 35) and the conventional cell measures 2.817, 4.979 and 8.953 Å, with angles of 90.00, 90.00 and 90.00 degrees. Symmetry generates all atoms from Rh at (0.000, 0.000, 0.000), Rh at (0.000, 0.500, 0.257), W at (0.000, 0.000, 0.504) and Cl at (0.000, 0.500, 0.742).

***

# 3
A plane-wave DFT calculation with GGA-PBE was carried out for Rh3WCl after structural relaxation.

For the raw formation energy, the calculation gives 1.2474 eV/atom. Its total magnetization is 0.0 Bohr magnetons per cell. The calculation puts the energy above the most stable polymorph in this dataset at 11 meV/atom. The total energy is -6.123 eV per atom.

The space group is Pm-3m (No. 221) and the conventional cell measures 4.760, 4.760 and 4.760 Å, with angles of 90.00, 90.00 and 90.00 degrees. Symmetry generates all atoms from Rh at (0.000, 0.000, 0.500), W at (0.000, 0.000, 0.000) and Cl at (0.500, 0.500, 0.500).

***

# 4
A plane-wave DFT calculation with GGA-PBE was carried out for Rh2WCl after structural relaxation.

For the raw formation energy, the calculation gives 0.7002 eV/atom. Its total magnetization is 0.0 Bohr magnetons per cell. The calculation puts the energy above the most stable polymorph in this dataset at 707 meV/atom. The total energy is -6.675 eV per atom.

The space group is I4/mmm (No. 139) and the conventional cell measures 4.161, 4.161 and 7.143 Å, with angles of 90.00, 90.00 and 90.00 degrees. Symmetry generates all atoms from Rh at (0.000, 0.500, 0.250), W at (0.000, 0.000, 0.000) and Cl at (0.000, 0.000, 0.500).

***

# 5
A plane-wave DFT calculation with GGA-PBE was carried out for Rh3WCl after structural relaxation.

For the raw formation energy, the calculation gives 1.2364 eV/atom. Its total magnetization is 2.6 Bohr magnetons per cell. The calculation puts the energy above the most stable polymorph in this dataset at 0 meV/atom. The total energy is -6.134 eV per atom.

The space group is Pm-3m (No. 221) and the conventional cell measures 4.373, 4.373 and 4.373 Å, with angles of 90.00, 90.00 and 90.00 degrees. Symmetry generates all atoms from Rh at (0.000, 0.000, 0.500), W at (0.500, 0.500, 0.500) and Cl at (0.000, 0.000, 0.000).

***

# 6
A plane-wave DFT calculation with GGA-PBE was carried out for Rh2WCl after structural relaxation.

For the raw formation energy, the calculation gives 0.7347 eV/atom. Its total magnetization is 0.0 Bohr magnetons per cell. The calculation puts the energy above the most stable polymorph in this dataset at 741 meV/atom. The total energy is -6.641 eV per atom.

The space group is Fm-3m (No. 225) and the conventional cell measures 6.302, 6.302 and 6.302 Å, with angles of 90.00, 90.00 and 90.00 degrees. Symmetry generates all atoms from Rh at (0.250, 0.250, 0.250), W at (0.000, 0.000, 0.000) and Cl at (0.000, 0.000, 0.500).